# 1
Pm3Nd2Dy6Tm: relaxed, GGA-PBE.

Values from the calculation:
Space group: C2/m (12)
Formation energy from the elements: 0.01 eV per atom
Crystal system: monoclinic

Geometry as POSCAR:
```
Pm3Nd2Dy6Tm
1.0
-3.750 -4.476 2.129
6.161 -0.567 0.594
-1.307 7.030 9.462
Pm Dy Tm Nd
3 6 1 2
direct
0.500 0.500 0.500
0.833 0.167 0.500
0.167 0.833 0.500
0.249 0.249 0.750
0.083 0.416 0.249
0.751 0.751 0.250
0.917 0.584 0.751
0.584 0.917 0.751
0.416 0.083 0.249
0.000 0.000 0.000
0.666 0.334 0.000
0.334 0.666 0.000
```



# 2
PmNd2DyTm2: relaxed, GGA-PBE.

Values from the calculation:
Space group: Pnnm (58)
Formation energy from the elements: 0.07 eV per atom
Crystal system: orthorhombic

Geometry as POSCAR:
```
PmNd2DyTm2
1.0
5.662 0.000 0.000
0.000 9.820 0.000
0.000 0.000 7.039
Pm Nd Tm Dy
2 4 4 2
direct
0.000 0.000 0.000
0.500 0.500 0.500
0.500 0.833 0.252
0.000 0.667 0.752
0.500 0.167 0.748
0.000 0.333 0.248
0.000 0.667 0.250
0.500 0.833 0.750
0.000 0.333 0.750
0.500 0.167 0.250
0.500 0.500 0.000
0.000 0.000 0.500
```



# 3
Pm2NdDy2Tm: relaxed, GGA-PBE.

Values from the calculation:
Space group: Pnnm (58)
Formation energy from the elements: 0.10 eV per atom
Crystal system: orthorhombic

Geometry as POSCAR:
```
Pm2NdDy2Tm
1.0
3.557 0.000 0.000
0.000 6.118 0.000
0.000 0.000 18.379
Tm Dy Nd Pm
2 4 2 4
direct
0.500 0.500 0.500
0.000 0.000 0.000
0.500 0.836 0.343
0.500 0.164 0.657
0.000 0.664 0.843
0.000 0.336 0.157
0.000 0.000 0.500
0.500 0.500 0.000
0.500 0.164 0.844
0.000 0.336 0.344
0.500 0.836 0.156
0.000 0.664 0.656
```



# 4
PmNd4DyTm2: relaxed, GGA-PBE.

Values from the calculation:
Space group: P2/m (10)
Formation energy from the elements: 0.02 eV per atom
Crystal system: monoclinic

Geometry as POSCAR:
```
PmNd4DyTm2
1.0
3.625 0.000 0.000
0.000 6.256 0.043
0.000 2.019 11.717
Pm Nd Tm Dy
1 4 2 1
direct
0.000 0.500 0.500
0.500 0.751 0.247
0.000 0.249 0.250
0.500 0.249 0.753
0.000 0.751 0.750
0.500 0.000 0.500
0.000 0.000 0.000
0.500 0.500 0.000
```



# 5
Pm2Nd4DyTm: relaxed, GGA-PBE.

Values from the calculation:
Space group: P2/m (10)
Formation energy from the elements: 0.01 eV per atom
Crystal system: monoclinic

Geometry as POSCAR:
```
Pm2Nd4DyTm
1.0
5.161 0.000 0.000
0.000 5.028 1.056
0.000 2.943 11.048
Nd Dy Pm Tm
4 1 2 1
direct
0.500 0.250 0.750
0.500 0.750 0.250
0.000 0.248 0.251
0.000 0.752 0.749
0.500 0.500 0.000
0.000 0.000 0.000
0.500 0.000 0.500
0.000 0.500 0.500
```



# 6
Pm2Nd5DyTm: relaxed, GGA-PBE.

Values from the calculation:
Space group: I4/mcm (140)
Formation energy from the elements: 0.28 eV per atom
Crystal system: tetragonal

Geometry as POSCAR:
```
Pm2Nd5DyTm
1.0
8.612 0.000 0.000
0.000 8.612 0.000
-4.306 -4.306 8.395
Nd Pm Dy Tm
10 4 2 2
direct
0.425 0.361 0.286
0.361 0.861 0.286
0.000 0.000 0.000
0.500 0.500 0.000
0.925 0.425 0.286
0.639 0.139 0.714
0.139 0.075 0.714
0.575 0.639 0.714
0.075 0.575 0.714
0.861 0.925 0.286
0.622 0.122 0.000
0.122 0.378 0.000
0.878 0.622 0.000
0.378 0.878 0.000
0.750 0.750 0.500
0.250 0.250 0.500
0.250 0.750 0.500
0.750 0.250 0.500
```



# 7
PmNdDy3Tm: relaxed, GGA-PBE.

Values from the calculation:
Space group: Cmcm (63)
Formation energy from the elements: 0.02 eV per atom
Crystal system: orthorhombic

Geometry as POSCAR:
```
PmNdDy3Tm
1.0
5.055 0.000 0.000
-2.528 7.581 0.000
0.000 0.000 10.114
Pm Dy Tm Nd
2 6 2 2
direct
0.500 0.001 0.250
0.500 0.999 0.750
0.169 0.337 0.750
0.332 0.663 0.500
0.668 0.337 0.000
0.831 0.663 0.250
0.332 0.663 0.000
0.668 0.337 0.500
0.168 0.336 0.250
0.832 0.664 0.750
0.000 0.000 0.000
0.000 0.000 0.500
```



# 8
Pm6Nd3Dy2Tm: relaxed, GGA-PBE.

Values from the calculation:
Space group: C2/m (12)
Formation energy from the elements: 0.02 eV per atom
Crystal system: monoclinic

Geometry as POSCAR:
```
Pm6Nd3Dy2Tm
1.0
6.289 -0.001 0.006
-3.144 5.447 0.006
-1.059 -1.834 11.807
Pm Dy Tm Nd
6 2 1 3
direct
0.749 0.749 0.246
0.585 0.918 0.755
0.918 0.585 0.755
0.082 0.415 0.245
0.251 0.251 0.754
0.415 0.082 0.245
0.667 0.333 0.000
0.333 0.667 0.000
0.000 0.000 0.000
0.167 0.833 0.500
0.500 0.500 0.500
0.833 0.167 0.500
```



# 9
Pm4Nd2Dy2Tm: relaxed, GGA-PBE.

Values from the calculation:
Space group: C2/m (12)
Formation energy from the elements: 0.02 eV per atom
Crystal system: monoclinic

Geometry as POSCAR:
```
Pm4Nd2Dy2Tm
1.0
-4.759 1.762 0.678
-0.345 -8.049 -0.831
1.685 1.580 7.723
Pm Dy Nd Tm
4 2 2 1
direct
0.221 0.443 0.331
0.555 0.111 0.331
0.779 0.557 0.669
0.445 0.889 0.669
0.666 0.332 0.000
0.334 0.668 0.000
0.888 0.777 0.330
0.112 0.223 0.670
0.000 0.000 0.000
```



# 10
PmNd2Dy2Tm2: relaxed, GGA-PBE.

Values from the calculation:
Space group: C2/m (12)
Formation energy from the elements: 0.15 eV per atom
Crystal system: monoclinic

Geometry as POSCAR:
```
PmNd2Dy2Tm2
1.0
3.498 0.000 0.000
-1.749 9.001 -1.055
0.000 -3.291 7.817
Dy Nd Tm Pm
2 2 2 1
direct
0.429 0.859 0.764
0.571 0.141 0.236
0.648 0.296 0.910
0.352 0.704 0.090
0.788 0.576 0.377
0.212 0.424 0.623
0.000 0.000 0.500
```



# 11
PmNd2Dy6Tm3: relaxed, GGA-PBE.

Values from the calculation:
Space group: C2/m (12)
Formation energy from the elements: 0.02 eV per atom
Crystal system: monoclinic

Geometry as POSCAR:
```
PmNd2Dy6Tm3
1.0
6.169 0.001 0.009
-3.082 5.344 0.009
-1.042 -1.805 11.603
Tm Dy Nd Pm
3 6 2 1
direct
0.500 0.500 0.500
0.833 0.167 0.500
0.167 0.833 0.500
0.914 0.581 0.745
0.086 0.419 0.255
0.419 0.086 0.255
0.581 0.914 0.745
0.247 0.247 0.745
0.753 0.753 0.255
0.667 0.333 0.000
0.333 0.667 0.000
0.000 0.000 0.000
```



# 12
Pm2Nd2DyTm: relaxed, GGA-PBE.

Values from the calculation:
Space group: Pmma (51)
Formation energy from the elements: 0.06 eV per atom
Crystal system: orthorhombic

Geometry as POSCAR:
```
Pm2Nd2DyTm
1.0
-4.826 2.242 2.049
-2.342 -6.484 1.579
4.121 0.691 8.951
Nd Tm Pm Dy
4 2 4 2
direct
0.500 0.508 0.000
0.500 0.008 0.000
0.000 0.258 0.178
0.000 0.758 0.822
0.000 0.508 0.500
0.000 0.008 0.500
0.500 0.758 0.669
0.000 0.758 0.163
0.000 0.258 0.837
0.500 0.258 0.331
0.500 0.258 0.658
0.500 0.758 0.342
```



| no. | calculated density (g/cm³) | volume (Å³/atom) | size of the total moment (μB per atom) |
| --- | --- | --- | --- |
| 1 | 7.9 | 32.57 | 0.00 |
| 2 | 7.9 | 32.62 | 0.00 |
| 3 | 7.7 | 33.32 | 0.00 |
| 4 | 7.6 | 33.18 | 0.00 |
| 5 | 7.4 | 33.83 | 0.00 |
| 6 | 7.2 | 34.59 | 0.00 |
| 7 | 8.1 | 32.30 | 0.00 |
| 8 | 7.4 | 33.71 | 0.00 |
| 9 | 7.5 | 33.40 | 0.00 |
| 10 | 7.8 | 33.43 | 0.00 |
| 11 | 8.3 | 31.89 | 0.00 |
| 12 | 7.6 | 33.20 | 0.00 |